CoPtPb2 | PBE-GGA | optimized geometry

It has space group I-42d (No. 122), with a = 7.420 Å, b = 7.420 Å, c = 6.260 Å, α = 90.00°, β = 90.00° and γ = 90.00°. The asymmetric unit holds Co at (0.000, 0.000, 0.000), Pt at (0.000, 0.000, 0.500) and Pb at (0.234, 0.250, 0.125).

As for the formation energy from the elements: 476 meV/atom. The energy is -4.6648 eV/atom. The calculation puts the total magnetization at 1.03 μB per formula unit.